# 1
RbBP (PBE-GGA, relaxed); energy of formation from the pure elements = -61 meV/atom; N(E_F) = 0.00 states/eV/atom; energy above the most stable polymorph in this dataset = 170 meV per atom
1.0
5.1504 0.0000 0.0000
0.2818 5.1576 0.0000
1.1147 1.0260 7.7676
Rb B P
2 2 2
Direct
0.1945 0.1982 0.2404
0.8055 0.8018 0.7595
0.4282 0.4269 0.5892
0.5718 0.5731 0.4108
0.2796 0.2760 0.7810
0.7204 0.7240 0.2190

---

# 2
NbPd3Rh (PBE-GGA, relaxed); energy of formation from the pure elements = -308 meV/atom; N(E_F) = 0.45 states/eV/atom; energy above the most stable polymorph in this dataset = 0 meV per atom
1.0
5.6583 0.0000 0.0000
0.0000 3.9620 0.0000
0.0000 0.0000 13.9998
Nb Pd Rh
4 12 4
Direct
0.1516 0.2500 0.0621
0.3484 0.7500 0.5621
0.6516 0.2500 0.4379
0.8484 0.7500 0.9379
0.1009 0.2500 0.6533
0.1412 0.2500 0.4533
0.1500 0.2500 0.2509
0.3500 0.7500 0.7509
0.3588 0.7500 0.9533
0.3991 0.7500 0.1533
0.6009 0.2500 0.8467
0.6412 0.2500 0.0467
0.6500 0.2500 0.2491
0.8500 0.7500 0.7491
0.8588 0.7500 0.5467
0.8991 0.7500 0.3467
0.0900 0.2500 0.8647
0.4100 0.7500 0.3647
0.5900 0.2500 0.6353
0.9100 0.7500 0.1353

---

# 3
RbHf2Ga (PBE-GGA, relaxed); energy of formation from the pure elements = 1087 meV/atom; N(E_F) = 1.19 states/eV/atom
1.0
-2.7379 2.7379 9.8035
2.7379 -2.7379 9.8035
2.7379 2.7379 -9.8035
Rb Hf Ga
2 4 2
Direct
0.0000 0.0000 0.0000
0.7500 0.2500 0.5000
0.3587 0.6250 0.2337
0.3750 0.6087 0.7337
0.3913 0.1250 0.7663
0.8750 0.6413 0.2663
0.2500 0.7500 0.5000
0.5000 0.5000 0.0000

---

# 4
Cd2RuW2 (PBE-GGA, relaxed); energy of formation from the pure elements = 863 meV/atom; N(E_F) = 0.90 states/eV/atom; energy above the most stable polymorph in this dataset = 0 meV per atom
1.0
6.4047 0.0000 0.0000
0.0000 6.4047 0.0000
0.0000 0.0000 4.7492
Cd Ru W
4 2 4
Direct
0.1699 0.3301 0.0000
0.3301 0.8301 0.0000
0.6699 0.1699 0.0000
0.8301 0.6699 0.0000
0.0000 0.0000 0.5000
0.5000 0.5000 0.5000
0.1372 0.6372 0.5000
0.3628 0.1372 0.5000
0.6372 0.8628 0.5000
0.8628 0.3628 0.5000

---

# 5
KBeIr2O (PBE-GGA, relaxed); N(E_F) = 0.66 states/eV/atom; formation energy without anion corrections = 4.28 eV per formula unit
1.0
4.1656 0.0000 0.0000
0.0000 4.1656 0.0000
0.0000 0.0000 5.0895
K Be Ir O
1 1 2 1
Direct
0.0000 0.0000 0.0000
0.5000 0.5000 0.5000
0.0000 0.5000 0.5000
0.5000 0.0000 0.5000
0.5000 0.5000 0.0000

---

# 6
YCd2Re (PBE-GGA, relaxed); energy of formation from the pure elements = 390 meV/atom; N(E_F) = 0.53 states/eV/atom; energy above the most stable polymorph in this dataset = 149 meV per atom
1.0
3.7218 0.0000 0.0000
0.0000 3.7218 0.0000
0.0000 0.0000 6.0384
Y Cd Re
1 2 1
Direct
0.0000 0.0000 0.0000
0.5000 0.5000 0.2747
0.5000 0.5000 0.7253
0.0000 0.0000 0.5000

---

# 7
Ba2Ag3Te2O2 (PBE-GGA, relaxed); N(E_F) = 0.32 states/eV/atom; formation energy without anion corrections = -9.97 eV per formula unit
1.0
-2.2282 2.2282 10.9428
2.2282 -2.2282 10.9428
2.2282 2.2282 -10.9428
Ba Ag Te O
2 3 2 2
Direct
0.0795 0.0795 0.0000
0.9205 0.9205 0.0000
0.2500 0.7500 0.5000
0.5000 0.5000 0.0000
0.7500 0.2500 0.5000
0.3343 0.3343 0.0000
0.6657 0.6657 0.0000
0.0000 0.5000 0.5000
0.5000 0.0000 0.5000

---

# 8
Cs3Ho2HfS6 (PBE-GGA, relaxed); N(E_F) = 0.30 states/eV/atom; formation energy without anion corrections = -20.05 eV per formula unit
1.0
3.4448 -5.9670 0.0000
3.4448 5.9670 0.0000
-2.2985 0.0000 8.0652
Cs Ho Hf S
3 2 1 6
Direct
0.0000 0.0000 0.0000
0.3309 0.6691 0.0000
0.6691 0.3309 0.0000
0.1665 0.8335 0.5000
0.8335 0.1665 0.5000
0.5000 0.5000 0.5000
0.1232 0.4402 0.3210
0.2432 0.2432 0.6801
0.4402 0.1232 0.3210
0.5598 0.8768 0.6790
0.7568 0.7568 0.3199
0.8768 0.5598 0.6790

---

# 9
Na3GaOs (PBE-GGA, relaxed); energy of formation from the pure elements = 1333 meV/atom; N(E_F) = 1.57 states/eV/atom
1.0
5.4848 0.0000 0.0000
0.0000 5.4848 0.0000
0.0000 0.0000 5.4848
Na Ga Os
3 1 1
Direct
0.0000 0.0000 0.5000
0.0000 0.5000 0.0000
0.5000 0.0000 0.0000
0.5000 0.5000 0.5000
0.0000 0.0000 0.0000

---

# 10
MgVSe2 (PBE-GGA, relaxed); N(E_F) = 0.62 states/eV/atom; formation energy without anion corrections = -2.17 eV per formula unit
1.0
1.6746 0.9668 8.7682
-1.6746 0.9668 8.7682
0.0000 -1.9337 8.7682
Mg V Se
1 1 2
Direct
0.0000 0.0000 0.0000
0.5000 0.5000 0.5000
0.1068 0.1068 0.1068
0.8932 0.8932 0.8932

---

# 11
Ce2ThCu2Sn2 (PBE-GGA, relaxed); energy of formation from the pure elements = -343 meV/atom; N(E_F) = 1.39 states/eV/atom
1.0
2.2286 1.2867 9.5723
-2.2286 1.2867 9.5723
0.0000 -2.5734 9.5723
Ce Th Cu Sn
2 1 2 2
Direct
0.1431 0.1431 0.1431
0.8569 0.8569 0.8569
0.0000 0.0000 0.0000
0.4030 0.4030 0.4030
0.5970 0.5970 0.5970
0.2612 0.2612 0.2612
0.7388 0.7388 0.7388

---

# 12
Li6CuIr2 (PBE-GGA, relaxed); energy of formation from the pure elements = -142 meV/atom; N(E_F) = 0.43 states/eV/atom
1.0
7.4862 0.0000 0.0000
-3.7431 6.4832 0.0000
0.0000 0.0000 2.5034
Li Cu Ir
6 1 2
Direct
0.0000 0.3393 0.0000
0.0000 0.6607 0.0000
0.3393 0.0000 0.0000
0.3393 0.3393 0.0000
0.6607 0.0000 0.0000
0.6607 0.6607 0.0000
0.0000 0.0000 0.5000
0.3333 0.6667 0.5000
0.6667 0.3333 0.5000

---

# 13
SnPd2Pb (PBE-GGA, relaxed); energy of formation from the pure elements = -393 meV/atom; N(E_F) = 0.22 states/eV/atom; energy above the most stable polymorph in this dataset = 0 meV per atom
1.0
8.0788 0.0000 0.0000
0.0000 6.5248 0.0000
-0.0063 0.0000 6.3381
Sn Pd Pb
4 8 4
Direct
0.1240 0.0856 0.3102
0.1240 0.4144 0.8102
0.8760 0.5856 0.1898
0.8760 0.9144 0.6898
0.1104 0.6886 0.4887
0.1104 0.8114 0.9887
0.3565 0.1868 0.0114
0.3565 0.3132 0.5114
0.6435 0.6868 0.4886
0.6435 0.8132 0.9886
0.8896 0.1886 0.0113
0.8896 0.3114 0.5113
0.3774 0.6063 0.1937
0.3774 0.8937 0.6937
0.6226 0.1063 0.3063
0.6226 0.3937 0.8063